A.
YCo2Ru at its PBEsol-relaxed geometry. Source: Alexandria, functional SCAN.

DOS(E_F): 2.70 states/eV/cell
size of the total moment: 3.622 μB/f.u.
calculated density: 8.7 g/cm³
crystal system: orthorhombic

POSCAR file:
```
YCo2Ru
1.0
3.254 0.000 0.000
0.000 4.184 0.000
0.000 0.000 4.301
Y Co Ru
1 2 1
Cartesian
0.000 2.092 2.150
0.000 0.000 0.000
1.627 0.000 2.150
1.627 2.092 0.000
```

---

B.
YCo2Ru at its PBEsol-relaxed geometry. Source: Alexandria, functional SCAN.

DOS(E_F): 3.58 states/eV/cell
size of the total moment: 4.382 μB/f.u.
calculated density: 8.7 g/cm³
crystal system: cubic

POSCAR file:
```
YCo2Ru
1.0
4.357 0.000 0.000
2.179 3.773 0.000
2.179 1.258 3.558
Co Ru Y
2 1 1
Cartesian
0.000 0.000 0.000
6.536 3.773 2.668
4.357 2.516 1.779
2.179 1.258 0.889
```

---

Most stable one: A, least stable one: B.

---

A.
Zn2CoRu at its PBEsol-relaxed geometry. Source: Alexandria, functional SCAN.

DOS(E_F): 2.29 states/eV/cell
size of the total moment: 0.775 μB/f.u.
calculated density: 9.6 g/cm³
crystal system: tetragonal

POSCAR file:
```
Zn2CoRu
1.0
-1.276 -0.263 -2.276
1.405 -2.148 -0.539
-5.049 -4.132 3.308
Zn Co Ru
2 1 1
Cartesian
-1.304 -2.325 -0.512
-5.015 -4.104 3.285
-2.568 -2.101 1.682
-3.608 -4.211 0.998
```

---

B.
Zn2CoRu at its PBEsol-relaxed geometry. Source: Alexandria, functional SCAN.

DOS(E_F): 2.04 states/eV/cell
size of the total moment: 1.994 μB/f.u.
calculated density: 9.7 g/cm³
crystal system: monoclinic

POSCAR file:
```
Zn2CoRu
1.0
-2.102 -0.848 -1.265
1.750 -3.490 2.094
-2.674 1.662 3.330
Ru Zn Co
1 2 1
Cartesian
-1.051 -0.424 -0.632
-0.338 -1.563 1.609
-2.688 -1.113 2.550
-1.337 0.831 1.665
```

---

Most stable one: B, least stable one: A.

---

A.
Co2Sb2S at its PBEsol-relaxed geometry. Source: Alexandria, functional SCAN.

DOS(E_F): 2.04 states/eV/cell
size of the total moment: 1.549 μB/f.u.
calculated density: 7.2 g/cm³
crystal system: tetragonal

POSCAR file:
```
Co2Sb2S
1.0
4.246 0.000 0.000
0.000 4.246 0.000
-2.123 -2.123 5.015
Co S Sb
2 1 2
Cartesian
0.000 0.000 3.886
2.123 2.123 1.130
0.000 0.000 0.000
0.000 2.123 2.508
2.123 0.000 2.508
```

---

B.
Co2Sb2S at its PBEsol-relaxed geometry. Source: Alexandria, functional SCAN.

DOS(E_F): 5.43 states/eV/cell
size of the total moment: 0.000 μB/f.u.
calculated density: 8.3 g/cm³
crystal system: tetragonal

POSCAR file:
```
Co2Sb2S
1.0
-1.937 0.140 2.716
5.541 -0.878 3.996
0.881 6.826 0.277
Co Sb S
4 4 2
Cartesian
1.066 2.379 0.638
3.633 0.360 2.572
2.790 5.588 1.702
5.356 3.569 3.636
3.990 1.657 4.812
0.496 4.431 2.177
3.426 5.229 4.226
1.060 0.859 2.763
0.000 0.000 0.000
3.211 2.974 2.137
```

---

Most stable one: B, least stable one: A.

---

A.
CoWS2 at its PBEsol-relaxed geometry. Source: Alexandria, functional SCAN.

DOS(E_F): 1.95 states/eV/cell
size of the total moment: 1.533 μB/f.u.
calculated density: 8.5 g/cm³
crystal system: trigonal

POSCAR file:
```
CoWS2
1.0
3.038 0.000 0.000
1.519 2.631 0.000
1.519 0.877 7.502
Co W S
1 1 2
Cartesian
0.000 0.000 0.000
3.038 1.754 3.751
1.519 0.877 5.404
4.557 2.631 2.098
```

---

B.
CoWS2 at its PBEsol-relaxed geometry. Source: Alexandria, functional SCAN.

DOS(E_F): 6.46 states/eV/cell
size of the total moment: 0.000 μB/f.u.
calculated density: 7.8 g/cm³
crystal system: tetragonal

POSCAR file:
```
CoWS2
1.0
-3.471 3.810 0.448
-1.288 -1.727 4.703
5.787 1.829 -0.588
Co S W
2 4 2
Cartesian
-2.379 1.042 2.576
-0.031 3.340 1.218
-1.075 0.478 4.148
-1.979 3.041 1.997
1.401 2.720 2.652
3.711 1.585 0.329
0.000 0.000 0.000
1.060 0.572 3.345
```

---

Most stable one: A, least stable one: B.

---

A.
Co3WS at its PBEsol-relaxed geometry. Source: Alexandria, functional SCAN.

DOS(E_F): 5.49 states/eV/cell
size of the total moment: 5.533 μB/f.u.
calculated density: 10.1 g/cm³
crystal system: cubic

POSCAR file:
```
Co3WS
1.0
-2.388 0.045 -3.217
-2.824 -1.949 2.069
-1.541 3.500 1.194
Co W S
3 1 1
Cartesian
-0.771 1.750 0.597
-1.194 0.023 -1.608
-1.412 -0.975 1.034
-3.377 0.798 0.023
0.000 0.000 0.000
```

---

B.
Co3WS at its PBEsol-relaxed geometry. Source: Alexandria, functional SCAN.

DOS(E_F): 3.05 states/eV/cell
size of the total moment: 3.383 μB/f.u.
calculated density: 7.7 g/cm³
crystal system: cubic

POSCAR file:
```
Co3WS
1.0
-2.908 2.064 -2.556
-1.262 -3.853 -1.676
-3.033 -0.376 3.148
W Co S
1 3 1
Cartesian
0.000 0.000 0.000
-1.454 1.032 -1.278
-1.516 -0.188 1.574
-0.631 -1.927 -0.838
-3.601 -1.083 -0.542
```

---

Most stable one: A, least stable one: B.

---

A.
Co2SiSb at its PBEsol-relaxed geometry. Source: Alexandria, functional SCAN.

DOS(E_F): 3.23 states/eV/cell
size of the total moment: 0.002 μB/f.u.
calculated density: 8.1 g/cm³
crystal system: cubic

POSCAR file:
```
Co2SiSb
1.0
-3.374 0.560 -2.552
0.513 0.044 -4.236
-1.453 -3.246 -2.359
Sb Co Si
1 2 1
Cartesian
-2.157 -1.321 -4.574
-1.079 -0.660 -2.287
0.000 0.000 0.000
-3.236 -1.981 -6.860
```

---

B.
Co2SiSb at its PBEsol-relaxed geometry. Source: Alexandria, functional SCAN.

DOS(E_F): 1.22 states/eV/cell
size of the total moment: 0.544 μB/f.u.
calculated density: 8.3 g/cm³
crystal system: orthorhombic

POSCAR file:
```
Co2SiSb
1.0
-2.775 -1.256 0.767
0.147 -2.009 -2.758
2.337 -3.521 2.689
Co Si Sb
2 1 1
Cartesian
-0.674 -2.596 -0.260
2.220 -3.344 2.554
0.600 -4.516 1.207
1.069 -1.611 1.230
```

---

C.
Co2SiSb at its PBEsol-relaxed geometry. Source: Alexandria, functional SCAN.

DOS(E_F): 2.53 states/eV/cell
size of the total moment: 1.197 μB/f.u.
calculated density: 8.4 g/cm³
crystal system: tetragonal

POSCAR file:
```
Co2SiSb
1.0
-1.207 -2.604 0.164
0.819 -0.207 2.748
-5.503 2.668 1.842
Co Sb Si
2 1 1
Cartesian
-1.659 0.804 0.555
-3.844 1.864 1.286
-0.194 -1.405 1.456
-2.946 -0.071 2.377
```

---

Most stable one: B, least stable one: A.